{"formula": "AcInB2Rh5", "functional": "PBE-GGA", "state": "relaxed", "lattice_angstrom": [[4.249, 0.000, 0.000], [0.000, 4.249, 0.000], [0.000, 0.000, 8.017]], "species": ["Ac", "In", "B", "B", "Rh", "Rh", "Rh", "Rh", "Rh"], "frac_coords": [[0.000, 0.000, 0.000], [0.000, 0.000, 0.500], [0.500, 0.500, 0.273], [0.500, 0.500, 0.727], [0.000, 0.500, 0.282], [0.000, 0.500, 0.718], [0.500, 0.000, 0.282], [0.500, 0.000, 0.718], [0.500, 0.500, 0.000]], "formation_enthalpy_0k_mev_per_atom": -400, "space_group": "No. 123"}

***

{"formula": "KCuPbCl4", "functional": "PBE-GGA", "state": "relaxed", "lattice_angstrom": [[6.590, 0.000, 0.000], [0.000, 7.176, 0.000], [-2.716, 0.000, 8.273]], "species": ["K", "K", "Cu", "Cu", "Pb", "Pb", "Cl", "Cl", "Cl", "Cl", "Cl", "Cl", "Cl", "Cl"], "frac_coords": [[0.244, 0.250, 0.439], [0.756, 0.750, 0.561], [0.282, 0.750, 0.180], [0.718, 0.250, 0.820], [0.283, 0.250, 0.948], [0.717, 0.750, 0.052], [0.059, 0.750, 0.914], [0.067, 0.750, 0.351], [0.490, 0.506, 0.767], [0.490, 0.994, 0.767], [0.510, 0.006, 0.233], [0.510, 0.494, 0.233], [0.933, 0.250, 0.649], [0.941, 0.250, 0.086]], "formation_energy_uncorrected_ev_per_atom": -1.165, "space_group": "No. 11"}

***

{"formula": "LaNd3Sm4Se8", "functional": "PBE-GGA", "state": "relaxed", "lattice_angstrom": [[4.211, 2.431, 6.890], [-4.211, 2.431, 6.890], [0.000, -4.862, 6.890]], "species": ["La", "Nd", "Nd", "Nd", "Sm", "Sm", "Sm", "Sm", "Se", "Se", "Se", "Se", "Se", "Se", "Se", "Se"], "frac_coords": [[0.000, 0.000, 0.000], [0.000, 0.500, 0.500], [0.500, 0.000, 0.500], [0.500, 0.500, 0.000], [0.000, 0.000, 0.500], [0.000, 0.500, 0.000], [0.500, 0.000, 0.000], [0.500, 0.500, 0.500], [0.248, 0.248, 0.248], [0.250, 0.747, 0.747], [0.253, 0.253, 0.750], [0.253, 0.750, 0.253], [0.747, 0.250, 0.747], [0.747, 0.747, 0.250], [0.750, 0.253, 0.253], [0.752, 0.752, 0.752]], "formation_energy_uncorrected_ev_per_atom": -1.845, "space_group": "No. 166"}

***

{"formula": "ZnOsSe2", "functional": "PBE-GGA", "state": "relaxed", "lattice_angstrom": [[3.388, 0.000, 0.000], [0.000, 3.236, 0.000], [-1.679, 0.000, 7.743]], "species": ["Zn", "Os", "Se", "Se"], "frac_coords": [[0.000, 0.000, 0.000], [0.422, 0.500, 0.843], [0.309, 0.000, 0.615], [0.587, 0.500, 0.176]], "formation_energy_uncorrected_ev_per_atom": 0.133, "space_group": "No. 6"}